Computed, not measured: an optimized crystal structure of MgPaH at the PBE-GGA level of DFT. Values from VASP.

Cell and atoms, written as Quantum ESPRESSO input:
```
&SYSTEM
  ibrav = 0, nat = 24, ntyp = 3
/
ATOMIC_SPECIES
Mg 24.30 Mg.upf
Pa 231.04 Pa.upf
H 1.01 H.upf
ATOMIC_POSITIONS crystal
Mg 0.249 0.013 0.125
Mg 0.249 0.487 0.625
Mg 0.251 0.513 0.125
Mg 0.251 0.987 0.625
Mg 0.749 0.013 0.375
Mg 0.749 0.487 0.875
Mg 0.751 0.513 0.375
Mg 0.751 0.987 0.875
Pa 0.092 0.749 0.379
Pa 0.092 0.751 0.879
Pa 0.408 0.249 0.379
Pa 0.408 0.251 0.879
Pa 0.592 0.749 0.121
Pa 0.592 0.751 0.621
Pa 0.908 0.249 0.121
Pa 0.908 0.251 0.621
H 0.242 0.149 0.632
H 0.242 0.351 0.132
H 0.258 0.649 0.632
H 0.258 0.851 0.132
H 0.742 0.149 0.868
H 0.742 0.351 0.368
H 0.758 0.649 0.868
H 0.758 0.851 0.368
CELL_PARAMETERS angstrom
5.535 0.000 0.000
0.000 11.946 0.000
0.000 0.000 6.466
```

Properties
volume = 17.81 Å³/atom
total energy = -115.86 eV/cell
D(E_F) = 29.24 states/eV/cell